Entry from OQMD via LeMat-Bulk: NaNbCuTe3 after structural relaxation (GGA-PBE).

Output
The calculated total energy comes out at -53.83 eV for the cell shown.

Unit cell a=7.628 b=7.628 c=10.543 alpha=90.00 beta=90.00 gamma=150.66
Fractional coordinates of all 12 atoms:
Na 0.236 0.764 0.750
Na 0.764 0.236 0.250
Nb 0.000 0.000 0.000
Nb 0.000 0.000 0.500
Cu 0.465 0.535 0.250
Cu 0.535 0.465 0.750
Te 0.084 0.916 0.250
Te 0.364 0.636 0.051
Te 0.364 0.636 0.449
Te 0.636 0.364 0.551
Te 0.636 0.364 0.949
Te 0.916 0.084 0.750

Entry from OQMD via LeMat-Bulk: Zr3AlIn2PdPt2 after structural relaxation (GGA-PBE).

Output
The calculated total energy comes out at -59.56 eV for the cell shown.

Unit cell a=3.644 b=7.435 c=7.435 alpha=120.75 beta=90.00 gamma=90.00
Fractional coordinates of all 9 atoms:
Zr 0.000 0.000 0.000
Zr 0.000 0.186 0.581
Zr 0.000 0.581 0.186
Al 0.500 0.326 0.326
In 0.500 0.590 0.852
In 0.500 0.852 0.590
Pd 0.000 0.567 0.567
Pt 0.500 0.262 0.940
Pt 0.500 0.940 0.262

Number 1: mass density 6.21 g cm⁻³. Number 2: mass density 9.85 g cm⁻³.